1.
Material: BeAgPb2
Method: DFT, meta-GGA SCAN
State: PBEsol geometry

a b c (Å): 4.7235 5.1018 4.7235
angles (deg): 62.42 90.00 117.58
With the nearest neighbours (Å) after each atom.
Positions (direct):
Pb  0.2500  0.5000  0.2500  4 Be 3.05, 4 Ag 3.05, 4 Pb 3.34
Pb  0.7500  0.5000  0.7500  4 Ag 3.05, 4 Be 3.05, 4 Pb 3.34
Be  0.0000  0.0000  0.0000  8 Pb 3.05, 4 Ag 3.34
Ag  0.5000  0.0000  0.5000  8 Pb 3.05, 4 Be 3.34

Calculated values
- DOS at the Fermi energy: 1.501 states/eV/f.u.
- Magnetization: 0.0 μB/f.u.
- DFT total energy: -185.4 eV for the cell shown
- Space group: No. 139

=====

2.
Material: Be2AgPb
Method: DFT, meta-GGA SCAN
State: PBEsol geometry

a b c (Å): 3.2877 4.8692 5.0925
angles (deg): 116.05 105.38 96.91
With the nearest neighbours (Å) after each atom.
Positions (direct):
Pb  0.0000  0.0000  0.0000  4 Be 2.55, 2 Ag 2.77
Be  0.0000  0.0000  0.5000  2 Pb 2.55, 2 Ag 2.55, 2 Be 2.77
Be  0.5000  0.5000  0.5000  2 Ag 2.55, 2 Pb 2.55, 2 Be 2.77
Ag  0.5000  0.5000  0.0000  4 Be 2.55, 2 Pb 2.77

Calculated values
- DOS at the Fermi energy: 1.191 states/eV/f.u.
- Magnetization: 0.0 μB/f.u.
- DFT total energy: -113.3 eV for the cell shown
- Space group: No. 12